UI3 GGA-PBEsol optimized geometry; V = 282.5 Å³/cell; formation energy from raw total energies = -688 meV per atom; spin magnetization = 3.0 μB per formula unit; total DFT energy (no corrections) = -5.05 eV/atom
1.0
7.4922 0.0455 0.0000
-6.4353 3.8369 0.0000
0.0000 0.0000 9.7268
I U
6 2
Direct
0.6487 0.3513 0.0661
0.9234 0.0766 0.2500
0.3513 0.6487 0.5661
0.6487 0.3513 0.4339
0.3513 0.6487 0.9339
0.0766 0.9234 0.7500
0.7356 0.2644 0.7500
0.2644 0.7356 0.2500